1.
A plane-wave DFT calculation with GGA-PBE was carried out for Ca2TiMoBr after structural relaxation.

Calculated values
Its total energy is -20.90 eV for the cell shown. Its space-group type is No. 123. The calculated volume is 138.9 Å³ per cell.

abc: 5.3858 4.7884 5.3858
angles: 90.00 90.00 90.00
Closest atoms and distances in Å follow each position.
Sites, in units of the cell vectors:
1 Mo 0.0000 0.5000 0.0000  2 Br 2.39
2 Ca 0.0000 0.0000 0.5000  2 Br 2.69
3 Ca 0.5000 0.0000 0.0000  2 Br 2.69
4 Br 0.0000 0.0000 0.0000  2 Mo 2.39
5 Ti 0.5000 0.5000 0.5000  8 Ca 3.60, 4 Mo 3.81

=====

2.
A plane-wave DFT calculation with GGA-PBE was carried out for CaTiMo2Br after structural relaxation.

Calculated values
Its total energy is -22.22 eV for the cell shown. Its space-group type is No. 123. Its energy relative to the lowest polymorph listed for this composition is 968 meV per atom. The calculated volume is 121.3 Å³ per cell.

abc: 4.8833 5.0886 4.8833
angles: 90.00 90.00 90.00
Closest atoms and distances in Å follow each position.
Sites, in units of the cell vectors:
1 Mo 0.0000 0.0000 0.5000  2 Ca 2.44
2 Mo 0.5000 0.0000 0.0000  2 Ca 2.44
3 Ca 0.0000 0.0000 0.0000  4 Mo 2.44, 2 Br 2.54
4 Br 0.0000 0.5000 0.0000  2 Ca 2.54
5 Ti 0.5000 0.5000 0.5000  4 Br 3.45, 8 Mo 3.53

=====

3.
A plane-wave DFT calculation with GGA-PBE was carried out for CaBr2N after structural relaxation.

Calculated values
Its total energy is -14.62 eV for the cell shown. Its space-group type is No. 166. Its energy relative to the lowest polymorph listed for this composition is 3 meV per atom. The calculated volume is 162.6 Å³ per cell.

abc: 10.4723 10.4723 10.4723
angles: 23.67 23.67 23.67
Closest atoms and distances in Å follow each position.
Sites, in units of the cell vectors:
1 Ca 0.5000 0.5000 0.5000  6 Br 2.93
2 Br 0.8843 0.8843 0.8843  3 Ca 2.93
3 Br 0.1157 0.1157 0.1157  3 Ca 2.93
4 N 0.0000 0.0000 0.0000  2 Br 3.53

=====

4.
A plane-wave DFT calculation with GGA-PBE was carried out for CaBr3N after structural relaxation.

Calculated values
Its total energy is -30.93 eV for the cell shown. Its space-group type is No. 12. Its energy relative to the lowest polymorph listed for this composition is 34 meV per atom. The calculated volume is 367.4 Å³ per cell.

abc: 6.0083 6.0083 10.3909
angles: 85.64 85.64 79.88
Closest atoms and distances in Å follow each position.
Sites, in units of the cell vectors:
1 Ca 0.7498 0.2502 0.5000  4 Br 2.89
2 Ca 0.2502 0.7498 0.5000  4 Br 2.89
3 Br 0.9368 0.9368 0.3056  2 Ca 2.89, 2 Br 3.04-3.15
4 Br 0.0632 0.0632 0.6944  2 Ca 2.89, 2 Br 3.04-3.15
5 Br 0.7341 0.7341 0.6373  2 Br 3.14-3.15, 4 Ca 3.32-3.33
6 Br 0.6070 0.6070 0.3055  2 Ca 2.89, 2 Br 3.04-3.14
7 Br 0.2659 0.2659 0.3627  2 Br 3.14-3.15, 4 Ca 3.32-3.33
8 Br 0.3930 0.3930 0.6945  2 Ca 2.89, 2 Br 3.04-3.14
9 N 0.7803 0.7803 0.9757  4 Br 3.58-3.85, 2 N 3.92
10 N 0.2197 0.2197 0.0243  4 Br 3.58-3.85, 2 N 3.92

=====

5.
A plane-wave DFT calculation with GGA-PBE was carried out for Ca3BrN after structural relaxation.

Calculated values
Its total energy is -19.78 eV for the cell shown. Its space-group type is No. 221. Its energy relative to the lowest polymorph listed for this composition is 90 meV per atom. The calculated volume is 123.6 Å³ per cell.

abc: 4.9815 4.9815 4.9815
angles: 90.00 90.00 90.00
Closest atoms and distances in Å follow each position.
Sites, in units of the cell vectors:
1 Ca 0.0000 0.5000 0.0000  2 N 2.49
2 Ca 0.0000 0.0000 0.5000  2 N 2.49
3 Ca 0.5000 0.0000 0.0000  2 N 2.49
4 Br 0.5000 0.5000 0.5000  12 Ca 3.52
5 N 0.0000 0.0000 0.0000  6 Ca 2.49

=====

6.
A plane-wave DFT calculation with GGA-PBE was carried out for Ca4Br5N after structural relaxation.

Calculated values
Its total energy is -42.13 eV for the cell shown. Its space-group type is No. 12. The calculated volume is 280.6 Å³ per cell.

abc: 3.9968 8.0749 9.1616
angles: 103.12 102.60 90.00
Closest atoms and distances in Å follow each position.
Sites, in units of the cell vectors:
1 Ca 0.6410 0.0769 0.2820  1 N 2.45
2 Ca 0.9996 0.2123 0.9993  2 N 2.63, 2 Br 2.87-2.94
3 Ca 0.3590 0.9231 0.7180  1 N 2.45
4 Ca 0.0004 0.7877 0.0007  2 N 2.63, 2 Br 2.87-2.94
5 Br 0.1640 0.3345 0.3280  3 Ca 2.84-2.87
6 Br 0.1684 0.8367 0.3367  3 Ca 2.90-2.94
7 Br 0.8316 0.1633 0.6633  3 Ca 2.90-2.94
8 Br 0.5000 0.5000 0.0000  4 Ca 3.06
9 Br 0.8360 0.6655 0.6720  3 Ca 2.84-2.87
10 N 0.5000 0.0000 0.0000  6 Ca 2.45-2.63

=====

7.
A plane-wave DFT calculation with GGA-PBE was carried out for Ca3Br3N after structural relaxation.

Calculated values
Its total energy is -61.20 eV for the cell shown. Its space-group type is No. 12. Its energy relative to the lowest polymorph listed for this composition is 43 meV per atom. The calculated volume is 387.9 Å³ per cell.

abc: 7.6383 7.6383 7.4969
angles: 96.48 96.48 114.91
Closest atoms and distances in Å follow each position.
Sites, in units of the cell vectors:
1 Ca 0.9058 0.9058 0.1641  2 N 2.25-2.26
2 Ca 0.8329 0.5614 0.7371  1 N 2.14
3 Ca 0.5614 0.8329 0.7371  1 N 2.14
4 Ca 0.1671 0.4386 0.2629  1 N 2.14
5 Ca 0.4386 0.1671 0.2629  1 N 2.14
6 Ca 0.0942 0.0942 0.8359  2 N 2.25-2.26
7 Br 0.6267 0.6267 0.3530  3 Ca 2.94-3.14
8 Br 0.1862 0.8138 0.5000  6 Ca 3.14-3.45
9 Br 0.8138 0.1862 0.5000  6 Ca 3.14-3.45
10 Br 0.2655 0.7345 0.0000  4 Ca 3.08-3.29
11 Br 0.7345 0.2655 0.0000  4 Ca 3.08-3.29
12 Br 0.3733 0.3733 0.6470  3 Ca 2.94-3.14
13 N 0.8247 0.8247 0.8584  4 Ca 2.14-2.26
14 N 0.1753 0.1753 0.1416  4 Ca 2.14-2.26

=====

8.
A plane-wave DFT calculation with GGA-PBE was carried out for Ca3Br3N after structural relaxation.

Calculated values
Its total energy is -61.80 eV for the cell shown. Its space-group type is No. 11. Its energy relative to the lowest polymorph listed for this composition is 0 meV per atom. The calculated volume is 360.4 Å³ per cell.

abc: 3.8915 8.2201 11.2792
angles: 92.63 90.00 90.00
Closest atoms and distances in Å follow each position.
Sites, in units of the cell vectors:
1 Ca 0.2500 0.3157 0.6228  2 N 2.53
2 Ca 0.7500 0.6843 0.3772  2 N 2.53
3 Ca 0.2500 0.9154 0.6015  3 N 2.50-2.57
4 Ca 0.7500 0.0846 0.3985  3 N 2.50-2.57
5 Ca 0.2500 0.8781 0.1627  1 N 2.45
6 Ca 0.7500 0.1219 0.8373  1 N 2.45
7 Br 0.2500 0.3783 0.3723  5 Ca 2.90-3.18
8 Br 0.7500 0.6217 0.6277  5 Ca 2.90-3.18
9 Br 0.2500 0.8716 0.8707  3 Ca 2.87-3.07
10 Br 0.7500 0.1284 0.1293  3 Ca 2.87-3.07
11 Br 0.2500 0.3727 0.8743  3 Ca 2.85
12 Br 0.7500 0.6273 0.1257  3 Ca 2.85
13 N 0.2500 0.8806 0.3803  6 Ca 2.45-2.57
14 N 0.7500 0.1194 0.6197  6 Ca 2.45-2.57

=====

9.
A plane-wave DFT calculation with GGA-PBE was carried out for Ca4BrN2 after structural relaxation.

Calculated values
Its total energy is -65.39 eV for the cell shown. Its space-group type is No. 2. Its energy relative to the lowest polymorph listed for this composition is 215 meV per atom. The calculated volume is 327.3 Å³ per cell.

abc: 7.7353 7.7351 7.7399
angles: 120.12 119.91 89.99
Closest atoms and distances in Å follow each position.
Sites, in units of the cell vectors:
1 Ca 0.8519 0.1479 0.2963  3 N 2.51
2 Ca 0.3981 0.6021 0.2037  3 N 2.51
3 Ca 0.8519 0.5561 0.7041  3 N 2.51
4 Ca 0.8513 0.1484 0.7027  3 N 2.50
5 Ca 0.4453 0.1484 0.2970  3 N 2.50-2.51
6 Ca 0.3981 0.1939 0.7959  3 N 2.51
7 Ca 0.3987 0.6016 0.7973  3 N 2.50
8 Ca 0.8047 0.6016 0.2030  3 N 2.50-2.51
9 Br 0.2489 0.7480 0.5000  4 Ca 2.81
10 Br 0.0011 0.0020 0.0000  4 Ca 2.81
11 N 0.6250 0.3750 0.7500  6 Ca 2.50-2.51
12 N 0.6250 0.8750 0.2500  6 Ca 2.50-2.51
13 N 0.6250 0.3750 0.2500  6 Ca 2.51
14 N 0.1250 0.3750 0.7500  6 Ca 2.50-2.51

=====

10.
A plane-wave DFT calculation with GGA-PBE was carried out for CaBrN2 after structural relaxation.

Calculated values
Its total energy is -13.97 eV for the cell shown. Its space-group type is No. 166. Its energy relative to the lowest polymorph listed for this composition is 899 meV per atom. The calculated volume is 69.3 Å³ per cell.

abc: 7.0173 7.0173 7.0173
angles: 28.46 28.46 28.46
Closest atoms and distances in Å follow each position.
Sites, in units of the cell vectors:
1 Ca 0.0000 0.0000 0.0000  2 N 2.29
2 Br 0.5000 0.5000 0.5000  6 N 2.27
3 N 0.8868 0.8868 0.8868  3 Br 2.27, 1 Ca 2.29
4 N 0.1132 0.1132 0.1132  3 Br 2.27, 1 Ca 2.29

=====

11.
A plane-wave DFT calculation with GGA-PBE was carried out for CaBrN2 after structural relaxation.

Calculated values
Its total energy is -15.11 eV for the cell shown. Its space-group type is No. 225. Its energy relative to the lowest polymorph listed for this composition is 614 meV per atom. The calculated volume is 57.0 Å³ per cell.

abc: 4.3196 4.3196 4.3196
angles: 60.00 60.00 60.00
Closest atoms and distances in Å follow each position.
Sites, in units of the cell vectors:
1 Ca 0.0000 0.0000 0.0000  8 N 2.65
2 Br 0.5000 0.5000 0.5000  8 N 2.65
3 N 0.2500 0.2500 0.2500  4 Br 2.65, 4 Ca 2.65
4 N 0.7500 0.7500 0.7500  4 Br 2.65, 4 Ca 2.65

=====

12.
A plane-wave DFT calculation with GGA-PBE was carried out for CaBr2N2 after structural relaxation.

Calculated values
Its total energy is -16.86 eV for the cell shown. Its space-group type is No. 139. Its energy relative to the lowest polymorph listed for this composition is 2254 meV per atom. The calculated volume is 111.8 Å³ per cell.

abc: 3.3818 3.3818 10.0664
angles: 80.33 80.33 90.00
Closest atoms and distances in Å follow each position.
Sites, in units of the cell vectors:
1 Ca 0.0000 0.0000 0.0000  8 Br 2.96
2 Br 0.4108 0.4108 0.1784  4 Ca 2.96
3 Br 0.5892 0.5892 0.8216  4 Ca 2.96
4 N 0.7500 0.2500 0.5000  4 N 2.39
5 N 0.2500 0.7500 0.5000  4 N 2.39

=====

| no. | theoretical density (kg/m³) |
| --- | --- |
| 1 | 3633 |
| 2 | 4923 |
| 3 | 2185 |
| 4 | 2655 |
| 5 | 2877 |
| 6 | 3395 |
| 7 | 3202 |
| 8 | 3446 |
| 9 | 2722 |
| 10 | 3544 |
| 11 | 4312 |
| 12 | 3384 |